No. 1
! GGA-PBE CrGaP, relaxed; values from VASP
&SYSTEM
  ibrav = 0, nat = 6, ntyp = 3
/
ATOMIC_SPECIES
Cr 52.00 Cr.upf
P 30.97 P.upf
Ga 69.72 Ga.upf
CELL_PARAMETERS angstrom
-0.089 -0.200 -3.063
-1.226 -2.807 0.219
-7.443 3.252 0.005
ATOMIC_POSITIONS crystal
Cr 0.000 0.500 0.290
Cr 0.500 0.000 0.710
P 0.500 0.000 0.413
P 0.000 0.500 0.587
Ga 0.000 0.500 0.904
Ga 0.500 0.000 0.096
! - Energy relative to the elements: -0.242 eV/atom

---

No. 2
! GGA-PBE DyTlPtRh, relaxed; values from VASP
&SYSTEM
  ibrav = 0, nat = 4, ntyp = 4
/
ATOMIC_SPECIES
Pt 195.08 Pt.upf
Rh 102.91 Rh.upf
Dy 162.50 Dy.upf
Tl 204.38 Tl.upf
CELL_PARAMETERS angstrom
4.794 0.000 0.000
2.397 4.152 0.000
2.397 1.384 3.914
ATOMIC_POSITIONS crystal
Pt 0.500 0.500 0.500
Rh 0.000 0.000 0.000
Dy 0.250 0.250 0.250
Tl 0.750 0.750 0.750
! - Energy relative to the elements: -0.594 eV/atom

---

No. 3
! GGA-PBE CuPbBr2, relaxed; values from VASP
&SYSTEM
  ibrav = 0, nat = 4, ntyp = 3
/
ATOMIC_SPECIES
Pb 207.20 Pb.upf
Br 79.90 Br.upf
Cu 63.55 Cu.upf
CELL_PARAMETERS angstrom
3.974 0.000 0.000
0.000 6.139 0.000
0.000 0.000 4.443
ATOMIC_POSITIONS crystal
Pb 0.000 0.500 0.500
Br 0.000 0.000 0.000
Br 0.500 0.500 0.000
Cu 0.500 0.000 0.500
! - Formation energy (no corrections): 0.032 eV/atom

---

No. 4
! GGA-PBE NaPO3, relaxed; values from VASP
&SYSTEM
  ibrav = 0, nat = 30, ntyp = 3
/
ATOMIC_SPECIES
Na 22.99 Na.upf
O 16.00 O.upf
P 30.97 P.upf
CELL_PARAMETERS angstrom
6.616 0.048 2.155
2.952 5.922 2.155
-0.195 -0.122 10.773
ATOMIC_POSITIONS crystal
Na 0.895 0.308 0.503
Na 0.692 0.105 0.997
Na 0.308 0.895 0.003
Na 0.105 0.692 0.497
Na 0.000 0.500 0.000
Na 0.500 0.000 0.500
O 0.987 0.138 0.124
O 0.418 0.762 0.786
O 0.634 0.787 0.118
O 0.013 0.862 0.876
O 0.355 0.645 0.250
O 0.762 0.418 0.286
O 0.862 0.013 0.376
O 0.779 0.509 0.873
O 0.491 0.221 0.627
O 0.787 0.634 0.618
O 0.238 0.582 0.714
O 0.366 0.213 0.882
O 0.582 0.238 0.214
O 0.213 0.366 0.382
O 0.509 0.779 0.373
O 0.221 0.491 0.127
O 0.138 0.987 0.624
O 0.645 0.355 0.750
P 0.321 0.432 0.245
P 0.821 0.179 0.250
P 0.679 0.568 0.755
P 0.179 0.821 0.750
P 0.432 0.321 0.745
P 0.568 0.679 0.255
! - Formation energy (no corrections): -2.197 eV/atom

---

No. 5
! GGA-PBE TePt3, relaxed; values from VASP
&SYSTEM
  ibrav = 0, nat = 16, ntyp = 2
/
ATOMIC_SPECIES
Pt 195.08 Pt.upf
Te 127.60 Te.upf
CELL_PARAMETERS angstrom
7.486 0.000 0.000
0.000 5.778 0.000
0.000 0.000 6.892
ATOMIC_POSITIONS crystal
Pt 0.214 0.899 0.750
Pt 0.600 0.306 0.955
Pt 0.100 0.194 0.455
Pt 0.400 0.694 0.045
Pt 0.400 0.694 0.455
Pt 0.286 0.399 0.750
Pt 0.600 0.306 0.545
Pt 0.714 0.601 0.250
Pt 0.100 0.194 0.045
Pt 0.900 0.806 0.545
Pt 0.786 0.101 0.250
Pt 0.900 0.806 0.955
Te 0.416 0.092 0.250
Te 0.084 0.592 0.250
Te 0.916 0.408 0.750
Te 0.584 0.908 0.750
! - Formation energy (no corrections): -0.039 eV/atom

---

No. 6
! GGA-PBE Y2HoEr5Sc, relaxed; values from VASP
&SYSTEM
  ibrav = 0, nat = 18, ntyp = 4
/
ATOMIC_SPECIES
Er 167.26 Er.upf
Ho 164.93 Ho.upf
Sc 44.96 Sc.upf
Y 88.91 Y.upf
CELL_PARAMETERS angstrom
5.513 0.000 0.000
-2.757 9.815 0.000
0.000 0.000 10.328
ATOMIC_POSITIONS crystal
Er 0.277 0.554 0.318
Er 0.300 0.600 0.705
Er 0.620 0.240 0.521
Er 0.981 0.962 0.519
Er 0.700 0.400 0.205
Er 0.019 0.038 0.019
Er 0.518 0.037 0.239
Er 0.482 0.963 0.739
Er 0.380 0.760 0.021
Er 0.723 0.446 0.818
Ho 0.411 0.821 0.457
Ho 0.589 0.179 0.957
Sc 0.197 0.394 0.014
Sc 0.803 0.606 0.514
Y 0.113 0.226 0.736
Y 0.887 0.774 0.236
Y 0.111 0.222 0.314
Y 0.889 0.778 0.814
! - Energy relative to the elements: 0.168 eV/atom

---

No. 7
! GGA-PBE LiLa2Br, relaxed; values from VASP
&SYSTEM
  ibrav = 0, nat = 4, ntyp = 3
/
ATOMIC_SPECIES
Br 79.90 Br.upf
La 138.91 La.upf
Li 6.94 Li.upf
CELL_PARAMETERS angstrom
4.624 -0.130 0.101
2.518 3.880 0.101
2.093 1.099 6.891
ATOMIC_POSITIONS crystal
Br 0.250 0.250 0.250
La 0.990 0.990 0.027
La 0.510 0.510 0.473
Li 0.750 0.750 0.750
! - Formation energy (no corrections): -0.469 eV/atom

---

No. 8
! GGA-PBE SeBr, relaxed; values from VASP
&SYSTEM
  ibrav = 0, nat = 2, ntyp = 2
/
ATOMIC_SPECIES
Br 79.90 Br.upf
Se 78.96 Se.upf
CELL_PARAMETERS angstrom
3.743 0.000 0.000
-1.871 3.241 0.000
0.000 0.000 4.116
ATOMIC_POSITIONS crystal
Br 0.000 0.000 0.000
Se 0.667 0.333 0.500
! - Formation energy (no corrections): 0.643 eV/atom

---

Total magnetization / μB per cell: 0.0 0.0 0.0 0.0 0.0 0.0 0.0 0.0